Model one:
Below is an optimized crystal structure of AcNd2Pb, with properties calculated at the PBE-GGA level.

Results
The theoretical density is 8.94 Mg/m³. The magnetization comes out at 0.0 μB per formula unit.

abc: 5.041 5.161 5.161
angles: 90.00 90.00 90.00
Fractional positions:
Nd (0.000, 0.000, 0.500)
Nd (0.000, 0.500, 0.000)
Ac (0.500, 0.500, 0.500)
Pb (0.500, 0.000, 0.000)



Model two:
Below is an optimized crystal structure of AcNd2Pb, with properties calculated at the PBE-GGA level.

Results
The theoretical density is 8.33 Mg/m³. The magnetization comes out at 0.0 μB per formula unit.

abc: 4.392 6.782 10.221
angles: 90.00 90.00 108.94
Fractional positions:
Nd (0.139, 0.280, 0.462)
Ac (0.446, 0.893, 0.250)
Nd (0.861, 0.720, 0.962)
Pb (0.732, 0.466, 0.250)
Ac (0.554, 0.107, 0.750)
Nd (0.139, 0.280, 0.038)
Pb (0.268, 0.534, 0.750)
Nd (0.861, 0.720, 0.538)



model one comes first in stability; the runner-up is 36 meV per atom higher.



Model one:
Below is an optimized crystal structure of AcNd2Pb, with properties calculated at the PBE-GGA level.

Results
The theoretical density is 8.74 Mg/m³. The magnetization comes out at 0.5 μB per formula unit.

abc: 4.236 4.236 7.653
angles: 90.00 90.00 90.00
Fractional positions:
Nd (0.000, 0.000, 0.792)
Ac (0.500, 0.500, 0.500)
Pb (0.500, 0.500, 0.000)
Nd (0.000, 0.000, 0.208)



Model two:
Below is an optimized crystal structure of AcNd2Pb, with properties calculated at the PBE-GGA level.

Results
The theoretical density is 8.37 Mg/m³. The magnetization comes out at 0.0 μB per formula unit.

abc: 3.793 3.793 11.718
angles: 80.69 80.69 60.00
Fractional positions:
Pb (0.666, 0.666, 0.001)
Nd (0.257, 0.257, 0.229)
Nd (0.077, 0.077, 0.770)
Ac (0.500, 0.500, 0.500)



model one comes first in stability; the runner-up is 99 meV per atom higher.